1.
First-principles (PBEsol) data for an optimized crystal structure of V2SnP3O12, as listed in Alexandria.

Computed properties:
Calculated volume ... 12.8 Å³ per atom

Structure (CIF):
```
data_V2SnP3O12
_chemical_formula_sum 'V12 Sn6 P18 O72'
_cell_length_a 8.4792
_cell_length_b 8.4792
_cell_length_c 22.2525
_cell_angle_alpha 90.00
_cell_angle_beta 90.00
_cell_angle_gamma 120.00
_symmetry_space_group_name_H-M 'R -3 c'
_symmetry_Int_Tables_number 167
_symmetry_space_group_name_Hall '-R 3 2"c'
loop_
_atom_site_label
_atom_site_type_symbol
_atom_site_fract_x
_atom_site_fract_y
_atom_site_fract_z
_atom_site_occupancy
V1 V 0.0000 0.0000 0.1474 1
Sn1 Sn 0.0000 0.0000 0.0000 1
P1 P 0.0000 0.2852 0.2500 1
O1 O 0.0274 0.1901 0.9105 1
O2 O 0.0291 0.2016 0.1930 1
```

---

2.
First-principles (PBEsol) data for an optimized crystal structure of V5SnP6O24, as listed in Alexandria.

Computed properties:
Calculated volume ... 12.1 Å³ per atom

Structure (CIF):
```
data_V5SnP6O24
_chemical_formula_sum 'V15 Sn3 P18 O72'
_cell_length_a 8.5732
_cell_length_b 8.5732
_cell_length_c 20.4678
_cell_angle_alpha 90.00
_cell_angle_beta 90.00
_cell_angle_gamma 120.00
_symmetry_space_group_name_H-M 'R 3'
_symmetry_Int_Tables_number 146
_symmetry_space_group_name_Hall 'R 3'
loop_
_atom_site_label
_atom_site_type_symbol
_atom_site_fract_x
_atom_site_fract_y
_atom_site_fract_z
_atom_site_occupancy
V1 V 0.0000 0.0000 0.0000 1
V2 V 0.0000 0.0000 0.1388 1
V3 V 0.0000 0.0000 0.5019 1
V4 V 0.0000 0.0000 0.6424 1
V5 V 0.0000 0.0000 0.7834 1
Sn1 Sn 0.0000 0.0000 0.2856 1
P1 P 0.0007 0.2979 0.3933 1
P2 P 0.0440 0.6701 0.5584 1
O1 O 0.0073 0.1963 0.4524 1
O2 O 0.0076 0.8099 0.9535 1
O3 O 0.0122 0.1780 0.0678 1
O4 O 0.0136 0.8337 0.5683 1
O5 O 0.1299 0.4562 0.9954 1
O6 O 0.1462 0.6793 0.4969 1
O7 O 0.1673 0.4895 0.3837 1
O8 O 0.1674 0.6842 0.8812 1
```

---

3.
First-principles (PBEsol) data for an optimized crystal structure of VSnPO5, as listed in Alexandria.

Computed properties:
Calculated volume ... 12.2 Å³ per atom

Structure (CIF):
```
data_VSnPO5
_chemical_formula_sum 'V2 Sn2 P2 O10'
_cell_length_a 5.294
_cell_length_b 6.457
_cell_length_c 6.732
_cell_angle_alpha 113.41
_cell_angle_beta 107.12
_cell_angle_gamma 95.34
_symmetry_space_group_name_H-M 'P -1'
_symmetry_Int_Tables_number 2
_symmetry_space_group_name_Hall '-P 1'
loop_
_atom_site_label
_atom_site_type_symbol
_atom_site_fract_x
_atom_site_fract_y
_atom_site_fract_z
_atom_site_occupancy
V1 V 0.150 0.126 0.243 1
Sn1 Sn 0.403 0.708 0.946 1
P1 P 0.177 0.689 0.394 1
O1 O 0.070 0.259 0.534 1
O2 O 0.105 0.427 0.217 1
O3 O 0.230 0.003 0.954 1
O4 O 0.233 0.836 0.270 1
O5 O 0.434 0.738 0.606 1
```

---

4.
First-principles (PBEsol) data for an optimized crystal structure of Sn3P6WO24, as listed in Alexandria.

Computed properties:
Calculated volume ... 13.9 Å³ per atom

Structure (CIF):
```
data_Sn3P6WO24
_chemical_formula_sum 'Sn9 P18 W3 O72'
_cell_length_a 8.5218
_cell_length_b 8.5218
_cell_length_c 22.5407
_cell_angle_alpha 90.00
_cell_angle_beta 90.00
_cell_angle_gamma 120.00
_symmetry_space_group_name_H-M 'R 3'
_symmetry_Int_Tables_number 146
_symmetry_space_group_name_Hall 'R 3'
loop_
_atom_site_label
_atom_site_type_symbol
_atom_site_fract_x
_atom_site_fract_y
_atom_site_fract_z
_atom_site_occupancy
Sn1 Sn 0.0000 0.0000 0.0000 1
Sn2 Sn 0.0000 0.0000 0.2133 1
Sn3 Sn 0.0000 0.0000 0.7076 1
P1 P 0.0000 0.2872 0.6065 1
P2 P 0.0030 0.7197 0.1045 1
W1 W 0.0000 0.0000 0.4984 1
O1 O 0.0033 0.1841 0.5483 1
O2 O 0.0034 0.8216 0.4495 1
O3 O 0.0615 0.8446 0.7596 1
O4 O 0.0784 0.8548 0.0531 1
O5 O 0.1432 0.6760 0.8296 1
O6 O 0.1554 0.4611 0.9312 1
O7 O 0.1846 0.4438 0.3235 1
O8 O 0.1952 0.4406 0.6155 1
```

---

| no. | size of the total moment (μB/f.u.) | total DFT energy (no corrections) (eV/atom) |
| --- | --- | --- |
| 1 | 3.00 | -7.940 |
| 2 | 11.00 | -8.066 |
| 3 | 2.00 | -7.774 |
| 4 | 0.00 | -7.581 |